# 1
MgZnCu2 at its PBEsol-relaxed geometry. Source: Alexandria via LeMat-Bulk, functional meta-GGA SCAN.

```
data_MgZnCu2
_chemical_formula_sum 'Mg2 Zn2 Cu4'
_symmetry_space_group_name_H-M 'I -4 m 2'
_symmetry_Int_Tables_number 119
_symmetry_space_group_name_Hall 'I -4 -2'
_cell_length_a 3.6974
_cell_length_b 3.6974
_cell_length_c 7.7895
_cell_angle_alpha 90.00
_cell_angle_beta 90.00
_cell_angle_gamma 90.00
loop_
_atom_site_label
_atom_site_type_symbol
_atom_site_fract_x
_atom_site_fract_y
_atom_site_fract_z
Mg1 Mg 0.0000 0.0000 0.0000
Zn1 Zn 0.0000 0.5000 0.2500
Cu1 Cu 0.0000 0.0000 0.5000
Cu2 Cu 0.0000 0.5000 0.7500
```

***

# 2
MgZn8Cu4 at its PBEsol-relaxed geometry. Source: Alexandria via LeMat-Bulk, functional meta-GGA SCAN.

```
data_MgZn8Cu4
_chemical_formula_sum 'Mg2 Zn16 Cu8'
_symmetry_space_group_name_H-M 'I 4/m m m'
_symmetry_Int_Tables_number 139
_symmetry_space_group_name_Hall '-I 4 2'
_cell_length_a 8.4730
_cell_length_b 8.4730
_cell_length_c 4.9408
_cell_angle_alpha 90.00
_cell_angle_beta 90.00
_cell_angle_gamma 90.00
loop_
_atom_site_label
_atom_site_type_symbol
_atom_site_fract_x
_atom_site_fract_y
_atom_site_fract_z
Mg1 Mg 0.0000 0.0000 0.0000
Zn1 Zn 0.0000 0.2165 0.5000
Zn2 Zn 0.0000 0.3442 0.0000
Cu1 Cu 0.2500 0.2500 0.2500
```

Summary:
Polymorph energy (0 for the lowest one)   0.000 eV per atom

***

# 3
MgZn2Cu at its PBEsol-relaxed geometry. Source: Alexandria via LeMat-Bulk, functional meta-GGA SCAN.

```
data_MgZn2Cu
_chemical_formula_sum 'Mg2 Zn4 Cu2'
_symmetry_space_group_name_H-M 'C 1 2/m 1'
_symmetry_Int_Tables_number 12
_symmetry_space_group_name_Hall '-C 2y'
_cell_length_a 9.3909
_cell_length_b 3.1588
_cell_length_c 4.2797
_cell_angle_alpha 90.00
_cell_angle_beta 115.14
_cell_angle_gamma 90.00
loop_
_atom_site_label
_atom_site_type_symbol
_atom_site_fract_x
_atom_site_fract_y
_atom_site_fract_z
Mg1 Mg 0.0000 0.0000 0.0000
Zn1 Zn 0.2295 0.0000 0.7279
Cu1 Cu 0.0000 0.5000 0.5000
```

***

# 4
Mg2Zn2Cu at its PBEsol-relaxed geometry. Source: Alexandria via LeMat-Bulk, functional meta-GGA SCAN.

```
data_Mg2Zn2Cu
_chemical_formula_sum 'Mg4 Zn4 Cu2'
_symmetry_space_group_name_H-M 'P 1 21/m 1'
_symmetry_Int_Tables_number 11
_symmetry_space_group_name_Hall '-P 2yb'
_cell_length_a 4.3211
_cell_length_b 3.0083
_cell_length_c 12.1713
_cell_angle_alpha 90.00
_cell_angle_beta 91.18
_cell_angle_gamma 90.00
loop_
_atom_site_label
_atom_site_type_symbol
_atom_site_fract_x
_atom_site_fract_y
_atom_site_fract_z
Mg1 Mg 0.2296 0.2500 0.1963
Mg2 Mg 0.2452 0.7500 0.4287
Zn1 Zn 0.2506 0.7500 0.0028
Zn2 Zn 0.2609 0.7500 0.6642
Cu1 Cu 0.2735 0.2500 0.8384
```

Summary:
Polymorph energy (0 for the lowest one)   0.038 eV per atom

***

# 5
MgZn4Cu at its PBEsol-relaxed geometry. Source: Alexandria via LeMat-Bulk, functional meta-GGA SCAN.

```
data_MgZn4Cu
_chemical_formula_sum 'Mg4 Zn16 Cu4'
_symmetry_space_group_name_H-M 'F -4 3 m'
_symmetry_Int_Tables_number 216
_symmetry_space_group_name_Hall 'F -4 2 3'
_cell_length_a 7.0245
_cell_length_b 7.0245
_cell_length_c 7.0245
_cell_angle_alpha 90.00
_cell_angle_beta 90.00
_cell_angle_gamma 90.00
loop_
_atom_site_label
_atom_site_type_symbol
_atom_site_fract_x
_atom_site_fract_y
_atom_site_fract_z
Mg1 Mg 0.0000 0.0000 0.0000
Zn1 Zn 0.1246 0.1246 0.3754
Cu1 Cu 0.2500 0.2500 0.7500
```

Summary:
Polymorph energy (0 for the lowest one)   0.012 eV per atom

***

# 6
MgZnCu2 at its PBEsol-relaxed geometry. Source: Alexandria via LeMat-Bulk, functional meta-GGA SCAN.

```
data_MgZnCu2
_chemical_formula_sum 'Mg1 Zn1 Cu2'
_symmetry_space_group_name_H-M 'P 4 m m'
_symmetry_Int_Tables_number 99
_symmetry_space_group_name_Hall 'P 4 -2'
_cell_length_a 3.0434
_cell_length_b 3.0434
_cell_length_c 5.9094
_cell_angle_alpha 90.00
_cell_angle_beta 90.00
_cell_angle_gamma 90.00
loop_
_atom_site_label
_atom_site_type_symbol
_atom_site_fract_x
_atom_site_fract_y
_atom_site_fract_z
Mg1 Mg 0.0000 0.0000 0.0000
Zn1 Zn 0.5000 0.5000 0.3044
Cu1 Cu 0.0000 0.0000 0.5230
Cu2 Cu 0.5000 0.5000 0.7366
```

***

# 7
MgZnCu2 at its PBEsol-relaxed geometry. Source: Alexandria via LeMat-Bulk, functional meta-GGA SCAN.

```
data_MgZnCu2
_chemical_formula_sum 'Mg3 Zn3 Cu6'
_symmetry_space_group_name_H-M 'R 3 m'
_symmetry_Int_Tables_number 160
_symmetry_space_group_name_Hall 'R 3 -2"'
_cell_length_a 2.7374
_cell_length_b 2.7374
_cell_length_c 25.5908
_cell_angle_alpha 90.00
_cell_angle_beta 90.00
_cell_angle_gamma 120.00
loop_
_atom_site_label
_atom_site_type_symbol
_atom_site_fract_x
_atom_site_fract_y
_atom_site_fract_z
Mg1 Mg 0.0000 0.0000 0.0000
Zn1 Zn 0.0000 0.0000 0.7609
Cu1 Cu 0.0000 0.0000 0.2481
Cu2 Cu 0.0000 0.0000 0.5057
```

***

# 8
Mg3Zn2Cu at its PBEsol-relaxed geometry. Source: Alexandria via LeMat-Bulk, functional meta-GGA SCAN.

```
data_Mg3Zn2Cu
_chemical_formula_sum 'Mg12 Zn8 Cu4'
_symmetry_space_group_name_H-M 'C m c m'
_symmetry_Int_Tables_number 63
_symmetry_space_group_name_Hall '-C 2c 2'
_cell_length_a 8.1149
_cell_length_b 9.8925
_cell_length_c 5.0875
_cell_angle_alpha 90.00
_cell_angle_beta 90.00
_cell_angle_gamma 90.00
loop_
_atom_site_label
_atom_site_type_symbol
_atom_site_fract_x
_atom_site_fract_y
_atom_site_fract_z
Mg1 Mg 0.0000 0.0774 0.2500
Mg2 Mg 0.1726 0.2324 0.7500
Zn1 Zn 0.1766 0.5000 0.0000
Cu1 Cu 0.0000 0.3351 0.2500
```

***

# 9
MgZnCu at its PBEsol-relaxed geometry. Source: Alexandria via LeMat-Bulk, functional meta-GGA SCAN.

```
data_MgZnCu
_chemical_formula_sum 'Mg2 Zn2 Cu2'
_symmetry_space_group_name_H-M 'I 4 m m'
_symmetry_Int_Tables_number 107
_symmetry_space_group_name_Hall 'I 4 -2'
_cell_length_a 3.1024
_cell_length_b 3.1024
_cell_length_c 9.1130
_cell_angle_alpha 90.00
_cell_angle_beta 90.00
_cell_angle_gamma 90.00
loop_
_atom_site_label
_atom_site_type_symbol
_atom_site_fract_x
_atom_site_fract_y
_atom_site_fract_z
Mg1 Mg 0.0000 0.0000 0.0000
Zn1 Zn 0.0000 0.0000 0.6911
Cu1 Cu 0.0000 0.0000 0.3238
```

***

# 10
MgZn2Cu2 at its PBEsol-relaxed geometry. Source: Alexandria via LeMat-Bulk, functional meta-GGA SCAN.

```
data_MgZn2Cu2
_chemical_formula_sum 'Mg2 Zn4 Cu4'
_symmetry_space_group_name_H-M 'P 4/m b m'
_symmetry_Int_Tables_number 127
_symmetry_space_group_name_Hall '-P 4 2ab'
_cell_length_a 6.9685
_cell_length_b 6.9685
_cell_length_c 2.8448
_cell_angle_alpha 90.00
_cell_angle_beta 90.00
_cell_angle_gamma 90.00
loop_
_atom_site_label
_atom_site_type_symbol
_atom_site_fract_x
_atom_site_fract_y
_atom_site_fract_z
Mg1 Mg 0.0000 0.0000 0.0000
Zn1 Zn 0.1281 0.3719 0.0000
Cu1 Cu 0.1694 0.6694 0.5000
```

Summary:
Polymorph energy (0 for the lowest one)   0.006 eV per atom

***

# 11
MgZnCu2 at its PBEsol-relaxed geometry. Source: Alexandria via LeMat-Bulk, functional meta-GGA SCAN.

```
data_MgZnCu2
_chemical_formula_sum 'Mg2 Zn2 Cu4'
_symmetry_space_group_name_H-M 'I m m 2'
_symmetry_Int_Tables_number 44
_symmetry_space_group_name_Hall 'I 2 -2'
_cell_length_a 3.5763
_cell_length_b 3.7933
_cell_length_c 7.8547
_cell_angle_alpha 90.00
_cell_angle_beta 90.00
_cell_angle_gamma 90.00
loop_
_atom_site_label
_atom_site_type_symbol
_atom_site_fract_x
_atom_site_fract_y
_atom_site_fract_z
Mg1 Mg 0.0000 0.0000 0.0000
Zn1 Zn 0.0000 0.5000 0.7554
Cu1 Cu 0.0000 0.0000 0.5010
Cu2 Cu 0.0000 0.5000 0.2461
```

***

# 12
MgZn4Cu8 at its PBEsol-relaxed geometry. Source: Alexandria via LeMat-Bulk, functional meta-GGA SCAN.

```
data_MgZn4Cu8
_chemical_formula_sum 'Mg2 Zn8 Cu16'
_symmetry_space_group_name_H-M 'I 4/m'
_symmetry_Int_Tables_number 87
_symmetry_space_group_name_Hall '-I 4'
_cell_length_a 9.3817
_cell_length_b 9.3817
_cell_length_c 3.6605
_cell_angle_alpha 90.00
_cell_angle_beta 90.00
_cell_angle_gamma 90.00
loop_
_atom_site_label
_atom_site_type_symbol
_atom_site_fract_x
_atom_site_fract_y
_atom_site_fract_z
Mg1 Mg 0.0000 0.0000 0.0000
Zn1 Zn 0.0372 0.2082 0.5000
Cu1 Cu 0.0710 0.3848 0.0000
Cu2 Cu 0.1575 0.7681 0.0000
```

Summary:
Polymorph energy (0 for the lowest one)   0.000 eV per atom

***

no.,E (eV for the cell shown)
1,-98.6
2,-351.2
3,-95.2
4,-105.6
5,-298.8
6,-49.3
7,-145.6
8,-231.1
9,-68.2
10,-126.0
11,-98.7
12,-362.8